# GGA+U Pm2BeVO6, relaxed
# DFT total energy = -7.822 eV/atom
data_Pm2BeVO6
_symmetry_space_group_name_H-M 'P 1 21/c 1'
_symmetry_Int_Tables_number 14
_symmetry_space_group_name_Hall '-P 2ybc'
_cell_length_a 5.371
_cell_length_b 5.420
_cell_length_c 9.142
_cell_angle_alpha 90.00
_cell_angle_beta 125.46
_cell_angle_gamma 90.00
loop_
_atom_site_label
_atom_site_fract_x
_atom_site_fract_y
_atom_site_fract_z
_atom_site_occupancy
Pm1 0.238 0.039 0.249 1
Be1 0.000 0.000 0.500 1
V1 0.500 0.000 0.000 1
O1 0.174 0.224 0.961 1
O2 0.235 0.713 0.961 1
O3 0.320 0.010 0.750 1

***

# GGA+U PmBeVO4, relaxed
# DFT total energy = -7.578 eV/atom
data_PmBeVO4
_symmetry_space_group_name_H-M 'I m m a'
_symmetry_Int_Tables_number 74
_symmetry_space_group_name_Hall '-I 2b 2'
_cell_length_a 5.955
_cell_length_b 7.628
_cell_length_c 8.865
_cell_angle_alpha 90.00
_cell_angle_beta 90.00
_cell_angle_gamma 90.00
loop_
_atom_site_label
_atom_site_fract_x
_atom_site_fract_y
_atom_site_fract_z
_atom_site_occupancy
Pm1 0.000 0.000 0.000 1
Be1 0.000 0.250 0.498 1
V1 0.250 0.250 0.250 1
O1 0.000 0.073 0.255 1
O2 0.248 0.250 0.496 1